The following is a GGA+U calculation of a relaxed structure of Ca2VO4F, from Alexandria via LeMat-Bulk.

Cell and atoms, written as POSCAR:
```
Ca2VO4F
1.0
4.981 -1.548 0.000
4.981 1.548 0.000
-3.008 0.000 6.107
Ca V O F
2 1 4 1
Direct
0.182 0.182 0.196 Ca
0.818 0.818 0.804 Ca
0.000 0.000 0.500 V
0.142 0.142 0.783 O
0.392 0.392 0.556 O
0.608 0.608 0.444 O
0.858 0.858 0.217 O
0.500 0.500 0.000 F
```

Results
Energy (eV/cell): -54.002
Volume (Å³/f.u.): 94